Crystalline KInW3 at its relaxed geometry. Source: the Alexandria database, functional PBE-GGA.

Computed properties:
Fermi-level density of states = 1.867 states/eV/atom
ρ = 9.0 g/cm³
VASP energy = -27.61 eV per cell
ΔE_f = 3.0171 eV per atom
E above lowest polymorph = 0.0 kJ/mol of formula units

Structure (CIF):
```
data_KInW3
_cell_length_a 5.0669
_cell_length_b 5.0669
_cell_length_c 5.0669
_cell_angle_alpha 90.00
_cell_angle_beta 90.00
_cell_angle_gamma 90.00
_space_group_name_H-M_alt 'P 1'
_space_group_IT_number 1
loop_
_space_group_symop_operation_xyz
'x,y,z'
loop_
_atom_site_label
_atom_site_type_symbol
_atom_site_fract_x
_atom_site_fract_y
_atom_site_fract_z
_atom_site_occupancy
K1 K 0.5000 0.5000 0.5000 1
W1 W 0.0000 0.5000 0.0000 1
W2 W 0.0000 0.0000 0.5000 1
W3 W 0.5000 0.0000 0.0000 1
In1 In 0.0000 0.0000 0.0000 1
```